Here is an optimized crystal structure of Pm3Pr6Er from the Alexandria database. Energies are from GGA-PBE. Values from VASP.

Geometry as Quantum ESPRESSO input:
```
&SYSTEM
  ibrav = 0, nat = 20, ntyp = 3
/
ATOMIC_SPECIES
Pm 145.00 Pm.upf
Pr 140.91 Pr.upf
Er 167.26 Er.upf
CELL_PARAMETERS angstrom
5.525 -9.747 0.000
5.525 9.747 0.000
0.000 0.000 6.557
ATOMIC_POSITIONS angstrom
Pm 5.525 7.495 3.278
Pm 3.612 2.276 0.774
Pm 3.612 -2.276 4.053
Pm 7.439 2.276 0.774
Pm 7.439 -2.276 4.053
Pm 5.525 -7.495 0.000
Pr 2.554 4.072 4.699
Pr 1.886 0.810 3.438
Pr 1.886 -0.810 0.160
Pr 5.525 5.431 6.079
Pr 2.554 -4.072 1.421
Pr 5.525 0.665 4.701
Pr 5.525 -0.665 1.423
Pr 8.497 4.072 4.699
Pr 5.525 -5.431 2.800
Pr 9.165 0.810 3.438
Pr 9.165 -0.810 0.160
Pr 8.497 -4.072 1.421
Er 5.525 3.732 3.077
Er 5.525 -3.732 6.356
```

Properties
Its energy above the most stable polymorph in this dataset is 0.00 eV/f.u. Its formation energy is 0.13 eV/atom. The calculation puts the magnetization at 0.00 μB/cell.